# 1
# NbSiAg (PBE, relaxed)
data_NbSiAg
_chemical_formula_sum 'Nb4 Si4 Ag4'
_cell_length_a 6.0195
_cell_length_b 6.0195
_cell_length_c 6.0195
_cell_angle_alpha 90.00
_cell_angle_beta 90.00
_cell_angle_gamma 90.00
_symmetry_space_group_name_H-M 'F -4 3 m'
_symmetry_Int_Tables_number 216
_symmetry_space_group_name_Hall 'F -4 2 3'
loop_
_atom_site_label
_atom_site_type_symbol
_atom_site_fract_x
_atom_site_fract_y
_atom_site_fract_z
Nb1 Nb 0.0000 0.0000 0.0000
Si1 Si 0.2500 0.2500 0.7500
Ag1 Ag 0.0000 0.0000 0.5000
# Spin magnetization: 0.0 μB/f.u.
# Calculated volume: 18.176 A^3/atom
# E_tot: -5.96 eV/atom

=====

# 2
# PuHg (PBE, relaxed)
data_PuHg
_chemical_formula_sum 'Pu4 Hg4'
_cell_length_a 6.3078
_cell_length_b 6.3078
_cell_length_c 6.3078
_cell_angle_alpha 90.00
_cell_angle_beta 90.00
_cell_angle_gamma 90.00
_symmetry_space_group_name_H-M 'F m -3 m'
_symmetry_Int_Tables_number 225
_symmetry_space_group_name_Hall '-F 4 2 3'
loop_
_atom_site_label
_atom_site_type_symbol
_atom_site_fract_x
_atom_site_fract_y
_atom_site_fract_z
Pu1 Pu 0.0000 0.0000 0.0000
Hg1 Hg 0.0000 0.0000 0.5000
# Spin magnetization: 6.4 μB/f.u.
# Formation energy from the elements: 0.105 eV per atom
# Calculated volume: 31.372 A^3/atom

=====

# 3
# BaZrF6 (PBE, relaxed)
data_BaZrF6
_chemical_formula_sum 'Ba4 Zr4 F24'
_cell_length_a 6.3579
_cell_length_b 9.2247
_cell_length_c 9.0464
_cell_angle_alpha 90.00
_cell_angle_beta 127.20
_cell_angle_gamma 90.00
_symmetry_space_group_name_H-M 'P 1 21/c 1'
_symmetry_Int_Tables_number 14
_symmetry_space_group_name_Hall '-P 2ybc'
loop_
_atom_site_label
_atom_site_type_symbol
_atom_site_fract_x
_atom_site_fract_y
_atom_site_fract_z
Ba1 Ba 0.0857 0.1805 0.3575
Zr1 Zr 0.3804 0.5388 0.6406
F1 F 0.0374 0.0334 0.8828
F2 F 0.1779 0.7289 0.5257
F3 F 0.2166 0.0433 0.6721
F4 F 0.3445 0.1637 0.2151
F5 F 0.4235 0.6048 0.8700
F6 F 0.4804 0.6255 0.4677
# Spin magnetization: 0.0 μB/f.u.
# Calculated volume: 13.207 A^3/atom
# E_tot: -6.48 eV/atom